Entry from the Alexandria database: a geometry-optimized NdGaFe4 structure (PBE). Values from VASP.

ρ	8.1	g/cm³
calculated formation energy	14	meV per atom
space-group type	F-43m, No. 216
magnetization	7.71	μB per formula unit

Geometry as Quantum ESPRESSO input:
```
&SYSTEM
  ibrav = 0, nat = 6, ntyp = 3
/
ATOMIC_SPECIES
Nd 144.24 Nd.upf
Fe 55.84 Fe.upf
Ga 69.72 Ga.upf
ATOMIC_POSITIONS crystal
Nd 0.250 0.250 0.250
Fe 0.626 0.626 0.121
Fe 0.626 0.121 0.626
Fe 0.626 0.626 0.626
Fe 0.121 0.626 0.626
Ga 0.000 0.000 0.000
CELL_PARAMETERS angstrom
5.028 0.000 0.000
2.514 4.354 0.000
2.514 1.451 4.105
```